Density functional theory data (PBE) for a relaxed structure of YTh2Sc.

- electronic total energy (eV per atom) = -6.792
- energy relative to the elements (eV per atom) = 0.117
- spin magnetization (μB per cell) = 0.0
- energy relative to the lowest polymorph listed for this composition (eV per atom) = 0.078

Cell lengths 5.550, 5.550, 5.550 Å; angles 60.00, 60.00, 60.00 degrees
Positions (direct):
Y 0.500 0.500 0.500
Sc 0.000 0.000 0.000
Th 0.750 0.750 0.750
Th 0.250 0.250 0.250